Entry 1:
PBE KYTe2, optimized geometry; spin magnetization = 0.0 μB per cell; energy relative to the elements, uncorrected = -1.4125 eV per atom
1.0
-8.293 -0.528 2.408
-8.023 -2.921 -1.396
-6.769 -4.764 2.516
K Te Y
1 2 1
Direct
0.500 0.500 0.500 K
0.736 0.736 0.736 Te
0.264 0.264 0.264 Te
0.000 0.000 0.000 Y

Entry 2:
PBE KY2Te2, optimized geometry; E above lowest polymorph = 29 meV per atom; spin magnetization = 0.0 μB per cell; energy relative to the elements, uncorrected = -0.8631 eV per atom
1.0
-6.538 3.197 4.822
-1.704 -8.018 3.005
2.529 0.599 3.031
Te K Y
4 2 4
Direct
0.145 0.355 0.000 Te
0.355 0.855 0.000 Te
0.645 0.145 0.000 Te
0.855 0.645 0.000 Te
0.500 0.500 0.000 K
0.000 0.000 0.000 K
0.145 0.645 0.500 Y
0.355 0.145 0.500 Y
0.855 0.355 0.500 Y
0.645 0.855 0.500 Y

Entry 3:
PBE KYTe2, optimized geometry; spin magnetization = 0.0 μB per cell; energy relative to the elements, uncorrected = -1.1566 eV per atom
1.0
2.629 0.000 9.827
-1.315 2.277 9.827
-1.315 -2.277 9.827
Y K Te
1 1 2
Direct
0.500 0.500 0.500 Y
0.000 0.000 0.000 K
0.110 0.110 0.110 Te
0.890 0.890 0.890 Te

Entry 4:
PBE KY2Te, optimized geometry; spin magnetization = 0.0 μB per cell; energy relative to the elements, uncorrected = -0.0974 eV per atom
1.0
-1.326 -3.751 -2.951
0.708 -3.185 3.727
-4.868 0.594 1.433
K Y Te
1 2 1
Direct
0.500 0.000 0.500 K
0.500 0.500 0.000 Y
0.000 0.000 0.000 Y
0.000 0.500 0.500 Te

Entry 5:
PBE KY2Te, optimized geometry; spin magnetization = 0.0 μB per cell; energy relative to the elements, uncorrected = -0.3609 eV per atom
1.0
-1.386 -10.325 -4.195
-0.639 -11.208 -0.315
-4.390 -10.230 -1.483
Y Te K
2 1 1
Direct
0.025 0.025 0.025 Y
0.475 0.475 0.475 Y
0.750 0.750 0.750 Te
0.250 0.250 0.250 K

Entry 6:
PBE K2YTe2, optimized geometry; spin magnetization = 1.8 μB per cell; energy relative to the elements, uncorrected = -0.9364 eV per atom
1.0
8.474 0.000 0.000
0.000 8.474 0.000
0.000 0.000 5.139
K Y Te
4 2 4
Direct
0.364 0.136 0.500 K
0.636 0.864 0.500 K
0.136 0.636 0.500 K
0.864 0.364 0.500 K
0.500 0.500 0.000 Y
0.000 0.000 0.000 Y
0.823 0.677 0.000 Te
0.677 0.177 0.000 Te
0.323 0.823 0.000 Te
0.177 0.323 0.000 Te

Look up the energy relative to the elements, uncorrected of the fifth one.
-0.3609 eV per atom

Look up the spin magnetization of the second one.
0.0 μB per cell

What is the formula in the fourth record?
KY2Te